Record 1
# LuCuTc2, relaxed, DFT PBE-GGA
# * ΔE_f: 31 meV/atom
data_LuCuTc2
_chemical_formula_sum 'Lu4 Cu4 Tc8'
_space_group_name_H-M_alt 'F -4 3 m'
_space_group_IT_number 216
_space_group_name_Hall 'F -4 2 3'
_cell_length_a 6.341
_cell_length_b 6.341
_cell_length_c 6.341
_cell_angle_alpha 90.00
_cell_angle_beta 90.00
_cell_angle_gamma 90.00
loop_
_atom_site_label
_atom_site_type_symbol
_atom_site_fract_x
_atom_site_fract_y
_atom_site_fract_z
Lu1 Lu 0.000 0.000 0.000
Cu1 Cu 0.250 0.250 0.250
Tc1 Tc 0.000 0.000 0.500
Tc2 Tc 0.250 0.250 0.750

=====

Record 2
# LuCu2Tc, relaxed, DFT PBE-GGA
# * ΔE_f: 274 meV/atom
data_LuCu2Tc
_chemical_formula_sum 'Lu4 Cu8 Tc4'
_space_group_name_H-M_alt 'F -4 3 m'
_space_group_IT_number 216
_space_group_name_Hall 'F -4 2 3'
_cell_length_a 6.314
_cell_length_b 6.314
_cell_length_c 6.314
_cell_angle_alpha 90.00
_cell_angle_beta 90.00
_cell_angle_gamma 90.00
loop_
_atom_site_label
_atom_site_type_symbol
_atom_site_fract_x
_atom_site_fract_y
_atom_site_fract_z
Lu1 Lu 0.000 0.000 0.000
Cu1 Cu 0.000 0.000 0.500
Cu2 Cu 0.250 0.250 0.250
Tc1 Tc 0.250 0.250 0.750

=====

Record 3
# LuCuTc, relaxed, DFT PBE-GGA
# * offset from the most stable computed form: 0.000 eV/atom
# * ΔE_f: 679 meV/atom
data_LuCuTc
_chemical_formula_sum 'Lu4 Cu4 Tc4'
_space_group_name_H-M_alt 'F -4 3 m'
_space_group_IT_number 216
_space_group_name_Hall 'F -4 2 3'
_cell_length_a 6.224
_cell_length_b 6.224
_cell_length_c 6.224
_cell_angle_alpha 90.00
_cell_angle_beta 90.00
_cell_angle_gamma 90.00
loop_
_atom_site_label
_atom_site_type_symbol
_atom_site_fract_x
_atom_site_fract_y
_atom_site_fract_z
Lu1 Lu 0.000 0.000 0.000
Cu1 Cu 0.000 0.000 0.500
Tc1 Tc 0.250 0.250 0.750

=====

Record 4
# LuCuTc, relaxed, DFT PBE-GGA
# * offset from the most stable computed form: 0.336 eV/atom
# * ΔE_f: 1015 meV/atom
data_LuCuTc
_chemical_formula_sum 'Lu4 Cu4 Tc4'
_space_group_name_H-M_alt 'F -4 3 m'
_space_group_IT_number 216
_space_group_name_Hall 'F -4 2 3'
_cell_length_a 6.254
_cell_length_b 6.254
_cell_length_c 6.254
_cell_angle_alpha 90.00
_cell_angle_beta 90.00
_cell_angle_gamma 90.00
loop_
_atom_site_label
_atom_site_type_symbol
_atom_site_fract_x
_atom_site_fract_y
_atom_site_fract_z
Lu1 Lu 0.000 0.000 0.000
Cu1 Cu 0.250 0.250 0.750
Tc1 Tc 0.250 0.250 0.250

=====

Record 5
# LuTlCuTc, relaxed, DFT PBE-GGA
# * offset from the most stable computed form: 0.190 eV/atom
data_LuTlCuTc
_chemical_formula_sum 'Lu4 Tl4 Cu4 Tc4'
_space_group_name_H-M_alt 'F -4 3 m'
_space_group_IT_number 216
_space_group_name_Hall 'F -4 2 3'
_cell_length_a 6.696
_cell_length_b 6.696
_cell_length_c 6.696
_cell_angle_alpha 90.00
_cell_angle_beta 90.00
_cell_angle_gamma 90.00
loop_
_atom_site_label
_atom_site_type_symbol
_atom_site_fract_x
_atom_site_fract_y
_atom_site_fract_z
Lu1 Lu 0.000 0.000 0.000
Tl1 Tl 0.250 0.250 0.250
Cu1 Cu 0.000 0.000 0.500
Tc1 Tc 0.250 0.250 0.750

=====

Record 6
# LuTlCuTc, relaxed, DFT PBE-GGA
# * offset from the most stable computed form: 0.000 eV/atom
data_LuTlCuTc
_chemical_formula_sum 'Lu4 Tl4 Cu4 Tc4'
_space_group_name_H-M_alt 'F -4 3 m'
_space_group_IT_number 216
_space_group_name_Hall 'F -4 2 3'
_cell_length_a 6.682
_cell_length_b 6.682
_cell_length_c 6.682
_cell_angle_alpha 90.00
_cell_angle_beta 90.00
_cell_angle_gamma 90.00
loop_
_atom_site_label
_atom_site_type_symbol
_atom_site_fract_x
_atom_site_fract_y
_atom_site_fract_z
Lu1 Lu 0.000 0.000 0.000
Tl1 Tl 0.000 0.000 0.500
Cu1 Cu 0.250 0.250 0.750
Tc1 Tc 0.250 0.250 0.250

=====

| no. | raw total energy (eV/atom) | total magnetization (μB per cell) |
| --- | --- | --- |
| 1 | -7.209 | 0.0 |
| 2 | -5.305 | 5.8 |
| 3 | -5.521 | 5.7 |
| 4 | -5.185 | 6.2 |
| 5 | -4.813 | 0.0 |
| 6 | -5.003 | 0.0 |